First-principles (GGA-PBE) data for a relaxed structure of Mg6ZnPt5, as listed in Alexandria.

```
Mg6ZnPt5
1.0
-1.341 4.455 0.316
-5.159 -1.731 2.510
3.261 -0.736 6.195
Mg Zn Pt
6 1 5
Direct
0.807 0.748 0.654
0.807 0.252 0.654
0.500 0.257 0.000
0.500 0.743 0.000
0.193 0.748 0.346
0.193 0.252 0.346
0.000 0.000 0.000
0.685 0.500 0.325
0.312 0.000 0.685
0.000 0.500 0.000
0.688 0.000 0.315
0.315 0.500 0.675
```

## Properties
Density of states at the Fermi level in states/eV per cell: 3.695
Total energy in eV/cell: -50.3
Space-group type: P2/m (10)
Total magnetization in μB/cell: 0.00

First-principles (GGA-PBE) data for a relaxed structure of Mg2ZnPt3, as listed in Alexandria.

```
Mg2ZnPt3
1.0
-0.186 -2.565 -3.263
6.056 -0.657 -2.474
1.158 -5.568 4.311
Mg Zn Pt
4 2 6
Direct
0.000 0.000 0.000
0.000 0.000 0.500
0.334 0.333 0.500
0.666 0.667 0.500
0.334 0.332 0.000
0.666 0.668 0.000
0.832 0.336 0.758
0.500 0.000 0.245
0.168 0.664 0.242
0.832 0.336 0.242
0.168 0.664 0.758
0.500 0.000 0.755
```

## Properties
Density of states at the Fermi level in states/eV per cell: 3.233
E above lowest polymorph in meV per atom: 0
Space-group type: Cmmm (65)
Total magnetization in μB/cell: 0.00

First-principles (GGA-PBE) data for a relaxed structure of MgZn2Pt, as listed in Alexandria.

```
MgZn2Pt
1.0
3.859 0.000 0.000
0.000 3.859 0.000
1.930 1.930 9.329
Zn Mg Pt
4 2 2
Direct
0.656 0.125 0.250
0.094 0.625 0.250
0.375 0.344 0.750
0.875 0.906 0.750
0.500 0.500 0.000
0.250 0.750 0.500
0.000 0.000 0.000
0.750 0.250 0.500
```

## Properties
Density of states at the Fermi level in states/eV per cell: 2.647
Total energy in eV/cell: -22.2
Space-group type: I-42d (122)
Total magnetization in μB/cell: 0.00

First-principles (GGA-PBE) data for a relaxed structure of Mg8ZnPt2, as listed in Alexandria.

```
Mg8ZnPt2
1.0
-2.425 -3.541 1.214
5.852 -2.926 3.153
-3.233 6.177 3.367
Mg Zn Pt
8 1 2
Direct
0.660 0.879 0.320
0.340 0.558 0.680
0.154 0.154 0.308
0.000 0.308 0.000
0.846 0.846 0.692
0.660 0.442 0.320
0.340 0.121 0.680
0.000 0.692 0.000
0.500 0.000 0.000
0.190 0.690 0.379
0.810 0.310 0.621
```

## Properties
Density of states at the Fermi level in states/eV per cell: 3.799
Total energy in eV/cell: -30.8
Space-group type: Immm (71)
Total magnetization in μB/cell: 0.00

Here are the calculated density numbers, same order: 10.17; 12.56; 8.37; 5.15 (g/cm³).